Entry 1:
# LaBSe2N (PBE, optimized geometry)
data_LaBSe2N
_chemical_formula_sum 'La1 B1 Se2 N1'
_cell_length_a 5.7248
_cell_length_b 5.7248
_cell_length_c 2.8186
_cell_angle_alpha 90.00
_cell_angle_beta 90.00
_cell_angle_gamma 90.00
_space_group_name_H-M_alt 'P 4/m m m'
_space_group_IT_number 123
_space_group_name_Hall '-P 4 2'
loop_
_atom_site_label
_atom_site_type_symbol
_atom_site_fract_x
_atom_site_fract_y
_atom_site_fract_z
La1 La 0.0000 0.0000 0.0000
B1 B 0.5000 0.5000 0.5000
Se1 Se 0.0000 0.5000 0.5000
N1 N 0.5000 0.5000 0.0000
# Energy relative to the lowest polymorph listed for this composition = 0.0 kJ/mol of atoms
# N(E_F) = 3.46 states/eV per cell

***

Entry 2:
# Ba2AsPt (PBE, optimized geometry)
data_Ba2AsPt
_chemical_formula_sum 'Ba4 As2 Pt2'
_cell_length_a 4.6295
_cell_length_b 4.6295
_cell_length_c 11.3812
_cell_angle_alpha 90.00
_cell_angle_beta 90.00
_cell_angle_gamma 90.00
_space_group_name_H-M_alt 'I -4 m 2'
_space_group_IT_number 119
_space_group_name_Hall 'I -4 -2'
loop_
_atom_site_label
_atom_site_type_symbol
_atom_site_fract_x
_atom_site_fract_y
_atom_site_fract_z
Ba1 Ba 0.0000 0.0000 0.0000
Ba2 Ba 0.0000 0.5000 0.2500
As1 As 0.0000 0.0000 0.5000
Pt1 Pt 0.0000 0.5000 0.7500
# DFT formation energy = -0.55 eV per atom
# N(E_F) = 7.02 states/eV per cell

***

Entry 3:
# ScGaSn (PBE, optimized geometry)
data_ScGaSn
_chemical_formula_sum 'Sc2 Ga2 Sn2'
_cell_length_a 3.5264
_cell_length_b 3.5264
_cell_length_c 10.4198
_cell_angle_alpha 90.00
_cell_angle_beta 90.00
_cell_angle_gamma 90.00
_space_group_name_H-M_alt 'I 4 m m'
_space_group_IT_number 107
_space_group_name_Hall 'I 4 -2'
loop_
_atom_site_label
_atom_site_type_symbol
_atom_site_fract_x
_atom_site_fract_y
_atom_site_fract_z
Sc1 Sc 0.0000 0.0000 0.0000
Ga1 Ga 0.0000 0.0000 0.6532
Sn1 Sn 0.0000 0.0000 0.3156
# Energy relative to the lowest polymorph listed for this composition = 14.6 kJ/mol of atoms
# DFT formation energy = -0.29 eV per atom
# N(E_F) = 7.00 states/eV per cell

***

Question: Number 3 is which compound?
Answer: ScGaSn

***

Please write out number 2 again, unchanged.
# Ba2AsPt (PBE, optimized geometry)
data_Ba2AsPt
_chemical_formula_sum 'Ba4 As2 Pt2'
_cell_length_a 4.6295
_cell_length_b 4.6295
_cell_length_c 11.3812
_cell_angle_alpha 90.00
_cell_angle_beta 90.00
_cell_angle_gamma 90.00
_space_group_name_H-M_alt 'I -4 m 2'
_space_group_IT_number 119
_space_group_name_Hall 'I -4 -2'
loop_
_atom_site_label
_atom_site_type_symbol
_atom_site_fract_x
_atom_site_fract_y
_atom_site_fract_z
Ba1 Ba 0.0000 0.0000 0.0000
Ba2 Ba 0.0000 0.5000 0.2500
As1 As 0.0000 0.0000 0.5000
Pt1 Pt 0.0000 0.5000 0.7500
# DFT formation energy = -0.55 eV per atom
# N(E_F) = 7.02 states/eV per cell

***

Question: Look up the N(E_F) of the second one.
Answer: 7.02 states/eV per cell